[1]
## BeTe2As (PBE)

Data for BeTe2As after structural relaxation.

The value obtained for the distance to the lowest polymorph of the same formula is 272 meV per atom. The raw formation energy is 0.3164 eV/atom. Its crystal system is orthorhombic.

The structure belongs to space group Cmm2 (No. 35); the cell edges are 3.845, 5.411 and 8.799 Å and the angles 90.00°, 90.00° and 90.00°. The asymmetric unit holds Be at (0.000, 0.000, 0.000), Te at (0.000, 0.000, 0.449), Te at (0.000, 0.500, 0.805) and As at (0.000, 0.500, 0.139).

***

[2]
## Li2CoCl (PBE)

Data for Li2CoCl after structural relaxation.

The value obtained for the distance to the lowest polymorph of the same formula is 35 meV per atom. The raw formation energy is -0.3200 eV/atom. Its crystal system is orthorhombic.

The structure belongs to space group Cmmm (No. 65); the cell edges are 3.661, 4.654 and 7.126 Å and the angles 90.00°, 90.00° and 90.00°. The asymmetric unit holds Li at (0.000, 0.000, 0.218), Co at (0.000, 0.500, 0.500) and Cl at (0.000, 0.500, 0.000).

***

[3]
## Na3La3SnO8 (PBE)

Data for Na3La3SnO8 after structural relaxation.

The raw formation energy is -2.4493 eV/atom. Its crystal system is trigonal.

The structure belongs to space group R-3m (No. 166, hexagonal axes); the cell edges are 7.1760, 7.1760 and 16.7114 Å and the angles 90.00°, 90.00° and 120.00°. The asymmetric unit holds Na at (0.0000, 0.5000, 0.0000), La at (0.0000, 0.5000, 0.5000), Sn at (0.0000, 0.0000, 0.5000), O at (0.0000, 0.0000, 0.2369) and O at (0.0387, 0.5193, 0.2348).

***

[4]
## Nb2SnW (PBE)

Data for Nb2SnW after structural relaxation.

Its formation enthalpy at 0 K is 0.68 eV/atom. Its crystal system is tetragonal.

The structure belongs to space group I-42d (No. 122); the cell edges are 7.649, 7.649 and 5.609 Å and the angles 90.00°, 90.00° and 90.00°. The asymmetric unit holds Nb at (0.209, 0.250, 0.125), Sn at (0.000, 0.000, 0.500) and W at (0.000, 0.000, 0.000).

***

[5]
## Cs2KTlAg (PBE)

Data for Cs2KTlAg after structural relaxation.

The value obtained for the distance to the lowest polymorph of the same formula is 87 meV per atom. Its formation enthalpy at 0 K is 0.17 eV/atom. Its crystal system is tetragonal.

The structure belongs to space group P4/mmm (No. 123); the cell edges are 7.030, 7.030 and 6.486 Å and the angles 90.00°, 90.00° and 90.00°. The asymmetric unit holds Cs at (0.000, 0.500, 0.000), K at (0.000, 0.000, 0.500), Tl at (0.500, 0.500, 0.500) and Ag at (0.000, 0.000, 0.000).

***

[6]
## ZnCoH (PBE)

Data for ZnCoH after structural relaxation.

The value obtained for the distance to the lowest polymorph of the same formula is 0 meV per atom. Its crystal system is trigonal.

The structure belongs to space group P3m1 (No. 156); the cell edges are 2.7648, 2.7648 and 4.0954 Å and the angles 90.00°, 90.00° and 120.00°. The asymmetric unit holds Zn at (0.0000, 0.0000, 0.0000), Co at (0.6667, 0.3333, 0.4847) and H at (0.3333, 0.6667, 0.5828).

***

[7]
## ZrCdFeIr2 (PBE)

Data for ZrCdFeIr2 after structural relaxation.

Its formation enthalpy at 0 K is 1.29 eV/atom. Its crystal system is tetragonal.

The structure belongs to space group P4/mmm (No. 123); the cell edges are 4.901, 4.901 and 4.598 Å and the angles 90.00°, 90.00° and 90.00°. The asymmetric unit holds Zr at (0.000, 0.000, 0.000), Cd at (0.500, 0.500, 0.500), Fe at (0.000, 0.000, 0.500) and Ir at (0.000, 0.500, 0.000).

***

[8]
## Tl2PbI (PBE)

Data for Tl2PbI after structural relaxation.

The value obtained for the distance to the lowest polymorph of the same formula is 142 meV per atom. The raw formation energy is -0.0123 eV/atom. Its crystal system is cubic.

The structure belongs to space group Fm-3m (No. 225); the cell edges are 8.147, 8.147 and 8.147 Å and the angles 90.00°, 90.00° and 90.00°. The asymmetric unit holds Tl at (0.250, 0.250, 0.250), Pb at (0.000, 0.000, 0.000) and I at (0.000, 0.000, 0.500).

***

[9]
## TmSnPt2 (PBE)

Data for TmSnPt2 after structural relaxation.

Its formation enthalpy at 0 K is -0.87 eV/atom. Its crystal system is hexagonal.

The structure belongs to space group P6_3/mmc (No. 194); the cell edges are 4.7699, 4.7699 and 8.2731 Å and the angles 90.00°, 90.00° and 120.00°. The asymmetric unit holds Tm at (0.0000, 0.0000, 0.0000), Sn at (0.3333, 0.6667, 0.2500) and Pt at (0.3333, 0.6667, 0.5867).

***

[10]
## Tm2Cd2Ga (PBE)

Data for Tm2Cd2Ga after structural relaxation.

Its formation enthalpy at 0 K is -0.31 eV/atom. Its crystal system is orthorhombic.

The structure belongs to space group Cmmm (No. 65); the cell edges are 3.365, 21.341 and 3.349 Å and the angles 90.00°, 90.00° and 90.00°. The asymmetric unit holds Tm at (0.000, 0.088, 0.000), Cd at (0.000, 0.308, 0.500) and Ga at (0.000, 0.500, 0.500).

***

[11]
## Sc4InSb (PBE)

Data for Sc4InSb after structural relaxation.

The raw formation energy is -0.0346 eV/atom. Its crystal system is cubic.

The structure belongs to space group F-43m (No. 216); the cell edges are 8.322, 8.322 and 8.322 Å and the angles 90.00°, 90.00° and 90.00°. The asymmetric unit holds Sc at (0.125, 0.125, 0.125), In at (0.250, 0.250, 0.750) and Sb at (0.000, 0.000, 0.500).

***

[12]
## La2Fe2Ag (PBE)

Data for La2Fe2Ag after structural relaxation.

The value obtained for the distance to the lowest polymorph of the same formula is 0 meV per atom. Its formation enthalpy at 0 K is 0.07 eV/atom. Its crystal system is tetragonal.

The structure belongs to space group P4/mbm (No. 127); the cell edges are 7.372, 7.372 and 4.114 Å and the angles 90.00°, 90.00° and 90.00°. The asymmetric unit holds La at (0.182, 0.318, 0.000), Fe at (0.108, 0.608, 0.500) and Ag at (0.000, 0.000, 0.500).

***

[13]
## BaAl3 (PBE)

Data for BaAl3 after structural relaxation.

Its formation enthalpy at 0 K is -0.18 eV/atom. Its crystal system is orthorhombic.

The structure belongs to space group Pmma (No. 51); the cell edges are 5.875, 4.334 and 8.099 Å and the angles 90.00°, 90.00° and 90.00°. The asymmetric unit holds Ba at (0.250, 0.000, 0.167), Al at (0.000, 0.500, 0.500), Al at (0.250, 0.000, 0.593) and Al at (0.250, 0.500, 0.797).

***

[14]
## La4SiBr2N (PBE)

Data for La4SiBr2N after structural relaxation.

The raw formation energy is -1.2659 eV/atom. Its crystal system is monoclinic.

The structure belongs to space group P2/m (No. 10); the cell edges are 7.062, 4.067 and 7.990 Å and the angles 90.00°, 107.59° and 90.00°. The asymmetric unit holds La at (0.206, 0.000, 0.188), La at (0.230, 0.500, 0.804), Si at (0.500, 0.000, 0.000), Br at (0.000, 0.000, 0.500), Br at (0.500, 0.500, 0.500) and N at (0.000, 0.500, 0.000).

***

[15]
## DyHoMgGa (PBE)

Data for DyHoMgGa after structural relaxation.

Its formation enthalpy at 0 K is -0.34 eV/atom. Its crystal system is cubic.

The structure belongs to space group F-43m (No. 216); the cell edges are 7.283, 7.283 and 7.283 Å and the angles 90.00°, 90.00° and 90.00°. The asymmetric unit holds Dy at (0.000, 0.000, 0.000), Ho at (0.000, 0.000, 0.500), Mg at (0.250, 0.250, 0.250) and Ga at (0.250, 0.250, 0.750).

***

[16]
## Na2PdPbF (PBE)

Data for Na2PdPbF after structural relaxation.

The raw formation energy is -0.9672 eV/atom. Its crystal system is tetragonal.

The structure belongs to space group P4/mmm (No. 123); the cell edges are 4.288, 4.288 and 5.594 Å and the angles 90.00°, 90.00° and 90.00°. The asymmetric unit holds Na at (0.000, 0.500, 0.000), Pd at (0.000, 0.000, 0.500), Pb at (0.500, 0.500, 0.500) and F at (0.500, 0.500, 0.000).

***

[17]
## Th2Al2Ge3 (PBE)

Data for Th2Al2Ge3 after structural relaxation.

Its formation enthalpy at 0 K is -0.50 eV/atom. Its crystal system is monoclinic.

The structure belongs to space group C2/m (No. 12); the cell edges are 15.429, 4.239 and 12.181 Å and the angles 90.00°, 126.42° and 90.00°. The asymmetric unit holds Th at (0.094, 0.000, 0.441), Th at (0.237, 0.000, 0.848), Al at (0.054, 0.500, 0.806), Al at (0.109, 0.000, 0.174), Ge at (0.095, 0.000, 0.948), Ge at (0.097, 0.500, 0.627) and Ge at (0.166, 0.500, 0.320).

***

[18]
## CaNpO6 (PBE)

Data for CaNpO6 after structural relaxation.

The raw formation energy is -1.9527 eV/atom. Its crystal system is monoclinic.

The structure belongs to space group C2/m (No. 12); the cell edges are 5.972, 6.591 and 5.848 Å and the angles 90.00°, 92.93° and 90.00°. The asymmetric unit holds Ca at (0.000, 0.000, 0.000), Np at (0.000, 0.500, 0.500), O at (0.163, 0.500, 0.778) and O at (0.196, 0.111, 0.684).

***

[19]
## Ce3ScZn8 (PBE)

Data for Ce3ScZn8 after structural relaxation.

Its formation enthalpy at 0 K is -0.27 eV/atom. Its crystal system is trigonal.

The structure belongs to space group P3m1 (No. 156); the cell edges are 5.5508, 5.5508 and 8.5345 Å and the angles 90.00°, 90.00° and 120.00°. The asymmetric unit holds Ce at (0.0000, 0.0000, 0.0000), Ce at (0.0000, 0.0000, 0.3441), Ce at (0.3333, 0.6667, 0.8611), Sc at (0.3333, 0.6667, 0.4859), Zn at (0.0050, 0.5025, 0.1788), Zn at (0.3263, 0.1631, 0.6677), Zn at (0.6667, 0.3333, 0.4232) and Zn at (0.6667, 0.3333, 0.9216).

***

[20]
## Be6Se7 (PBE)

Data for Be6Se7 after structural relaxation.

The raw formation energy is 0.4154 eV/atom. Its crystal system is trigonal.

The structure belongs to space group R-3m (No. 166, hexagonal axes); the cell edges are 6.9007, 6.9007 and 22.2809 Å and the angles 90.00°, 90.00° and 120.00°. The asymmetric unit holds Be at (0.0000, 0.0000, 0.0479), Be at (0.0000, 0.0000, 0.2543), Be at (0.0000, 0.0000, 0.3575), Se at (0.0000, 0.0000, 0.5000) and Se at (0.0150, 0.5075, 0.0767).

***

[21]
## Pm3Dy5In2 (PBE)

Data for Pm3Dy5In2 after structural relaxation.

Its formation enthalpy at 0 K is 0.06 eV/atom. Its crystal system is orthorhombic.

The structure belongs to space group Ibam (No. 72); the cell edges are 12.855, 15.624 and 6.424 Å and the angles 90.00°, 90.00° and 90.00°. The asymmetric unit holds Pm at (0.000, 0.000, 0.250), Pm at (0.116, 0.238, 0.000), Dy at (0.000, 0.500, 0.250), Dy at (0.124, 0.337, 0.500), Dy at (0.247, 0.500, 0.250) and In at (0.137, 0.147, 0.500).

***

[22]
## LaMg2VHg (PBE)

Data for LaMg2VHg after structural relaxation.

Its formation enthalpy at 0 K is 0.40 eV/atom. Its crystal system is tetragonal.

The structure belongs to space group P4/mmm (No. 123); the cell edges are 5.097, 5.097 and 5.355 Å and the angles 90.00°, 90.00° and 90.00°. The asymmetric unit holds La at (0.000, 0.000, 0.000), Mg at (0.000, 0.500, 0.500), V at (0.500, 0.500, 0.000) and Hg at (0.500, 0.500, 0.500).

***

[23]
## Ti7Nb3Pt2 (PBE)

Data for Ti7Nb3Pt2 after structural relaxation.

Its formation enthalpy at 0 K is -0.03 eV/atom. Its crystal system is orthorhombic.

The structure belongs to space group Cmmm (No. 65); the cell edges are 4.603, 20.354 and 4.530 Å and the angles 90.00°, 90.00° and 90.00°. The asymmetric unit holds Ti at (0.000, 0.000, 0.000), Ti at (0.000, 0.083, 0.500), Ti at (0.000, 0.275, 0.000), Ti at (0.000, 0.418, 0.000), Nb at (0.000, 0.324, 0.500), Nb at (0.000, 0.500, 0.500) and Pt at (0.000, 0.147, 0.000).

***

[24]
## SrYNi2 (PBE)

Data for SrYNi2 after structural relaxation.

The value obtained for the distance to the lowest polymorph of the same formula is 97 meV per atom. Its formation enthalpy at 0 K is -0.08 eV/atom. Its crystal system is orthorhombic.

The structure belongs to space group Imm2 (No. 44); the cell edges are 3.834, 4.018 and 12.977 Å and the angles 90.00°, 90.00° and 90.00°. The asymmetric unit holds Sr at (0.000, 0.000, 0.000), Y at (0.000, 0.500, 0.753), Ni at (0.000, 0.000, 0.606) and Ni at (0.000, 0.500, 0.210).

***

Ordered total DFT energy (no corrections) results: -3.35 -3.52 -6.61 -8.59 -1.44 -3.92 -5.84 -2.51 -6.01 -3.07 -5.40 -5.85 -3.47 -5.87 -3.79 -3.65 -5.66 -7.54 -3.13 -3.18 -4.22 -3.11 -8.16 -5.00; unit eV/atom.
Ordered magnetization results: 0.0 3.1 0.0 0.0 0.0 0.4 2.2 0.0 0.0 0.0 0.0 6.5 0.0 0.0 0.0 0.0 0.0 2.0 2.0 0.6 0.0 3.8 0.0 0.0; unit μB/cell.
Ordered density results: 6.2 3.0 4.9 9.9 3.2 7.7 9.7 9.1 13.8 8.7 4.8 7.4 3.5 5.8 7.2 6.1 7.6 5.4 7.2 3.3 7.6 5.2 7.9 4.9; unit g/cm³.